[1]
NaAcH6Pt2: relaxed, PBE-GGA.

Its raw total energy is -4.1150 eV per atom. The spin magnetization is 0.00 μB/f.u.

The structure belongs to space group R-3m (No. 166, hexagonal axes); the cell edges are 4.8797, 4.8797 and 16.3520 Å and the angles 90.00°, 90.00° and 120.00°. The inequivalent atoms are Na at (0.0000, 0.0000, 0.0000), Ac at (0.0000, 0.0000, 0.5000), H at (0.0098, 0.5049, 0.4342) and Pt at (0.0000, 0.0000, 0.2893).


[2]
SrCoI2: relaxed, PBE-GGA.

The value obtained for the uncorrected formation energy is -0.15 eV/atom. Its raw total energy is -3.1171 eV per atom. The spin magnetization is 2.83 μB/f.u.

The structure belongs to space group Fm-3m (No. 225); the cell edges are 7.922, 7.922 and 7.922 Å and the angles 90.00°, 90.00° and 90.00°. The inequivalent atoms are Sr at (0.000, 0.000, 0.000), Co at (0.000, 0.000, 0.500) and I at (0.250, 0.250, 0.250).


[3]
BaLi2InAg4: relaxed, PBE-GGA.

Its raw total energy is -2.6530 eV per atom. The spin magnetization is 0.00 μB/f.u. For the energy of formation, the calculation gives -3.83 kcal/mol of atoms.

The structure belongs to space group R-3m (No. 166, hexagonal axes); the cell edges are 4.6750, 4.6750 and 29.7245 Å and the angles 90.00°, 90.00° and 120.00°. The inequivalent atoms are Ba at (0.0000, 0.0000, 0.0000), Li at (0.0000, 0.0000, 0.2250), In at (0.0000, 0.0000, 0.5000), Ag at (0.0000, 0.0000, 0.1230) and Ag at (0.0000, 0.0000, 0.4073).


[4]
Y4Zn2Hg: relaxed, PBE-GGA.

Its raw total energy is -4.3411 eV per atom. The spin magnetization is 0.00 μB/f.u. For the energy of formation, the calculation gives -5.54 kcal/mol of atoms.

The structure belongs to space group R-3m (No. 166, hexagonal axes); the cell edges are 5.0843, 5.0843 and 24.5712 Å and the angles 90.00°, 90.00° and 120.00°. The inequivalent atoms are Y at (0.0000, 0.0000, 0.1178), Y at (0.0000, 0.0000, 0.3702), Zn at (0.0000, 0.0000, 0.2492) and Hg at (0.0000, 0.0000, 0.5000).